1.
Al2CoCu | GGA-PBE | relaxed

Cell lengths 2.9012, 2.9013, 5.9262 Å; angles 90.00, 90.00, 90.00 degrees
Last column: nearest neighbours and their distance in Å.
Sites, in units of the cell vectors:
Cu  0.5000  0.5000  0.5000  8 Al 2.59
Al  0.0000  0.0000  0.2342  4 Co 2.48, 4 Cu 2.59
Al  0.0000  0.0000  0.7658  4 Co 2.48, 4 Cu 2.59
Co  0.5000  0.5000  0.0000  8 Al 2.48

Results
Theoretical density (g/cm3): 5.874
Space-group type: P4/mmm, No. 123
D(E_F) (states/eV/atom): 0.365
Uncorrected energy (eV for the cell shown): -20.4
V (Å³ per atom): 12.5

2.
Nd3Ni2Ge2 | GGA-PBE | relaxed

Cell lengths 4.2412, 4.2566, 9.2827 Å; angles 103.25, 103.21, 90.00 degrees
Last column: nearest neighbours and their distance in Å.
Sites, in units of the cell vectors:
Ni  0.4325  0.4325  0.8650  1 Ni 2.37, 2 Ge 2.46
Ni  0.5675  0.5675  0.1350  1 Ni 2.37, 2 Ge 2.46
Nd  0.0000  0.0000  0.0000  8 Ni 3.23, 4 Ge 3.24
Nd  0.6786  0.1786  0.3572  2 Ni 2.89, 5 Ge 3.08-3.21
Nd  0.3214  0.8214  0.6428  2 Ni 2.89, 5 Ge 3.08-3.21
Ge  0.1389  0.6389  0.2777  2 Ni 2.46
Ge  0.8611  0.3611  0.7223  2 Ni 2.46

Results
Theoretical density (g/cm3): 7.283
Relative energy among the computed polymorphs (meV per atom): 0
Space-group type: Immm, No. 71
D(E_F) (states/eV/atom): 0.782
V (Å³ per atom): 22.7